1.
A plane-wave DFT calculation with GGA-PBEsol was carried out for crystalline Hf2ZnCl at its relaxed geometry.

a b c (Å): 6.5389 6.5389 6.5389
angles (deg): 90.00 90.00 90.00
With the nearest neighbours (Å) after each atom.
Fractional coordinates of all 16 atoms:
Hf1 0.2500 0.2500 0.2500  4 Cl 2.83, 4 Zn 2.83
Hf2 0.2500 0.2500 0.7500  4 Zn 2.83, 4 Cl 2.83
Hf3 0.2500 0.7500 0.2500  4 Zn 2.83, 4 Cl 2.83
Hf4 0.2500 0.7500 0.7500  4 Cl 2.83, 4 Zn 2.83
Hf5 0.7500 0.2500 0.2500  4 Zn 2.83, 4 Cl 2.83
Hf6 0.7500 0.2500 0.7500  4 Cl 2.83, 4 Zn 2.83
Hf7 0.7500 0.7500 0.2500  4 Cl 2.83, 4 Zn 2.83
Hf8 0.7500 0.7500 0.7500  4 Zn 2.83, 4 Cl 2.83
Zn1 0.0000 0.0000 0.0000  8 Hf 2.83
Zn2 0.0000 0.5000 0.5000  8 Hf 2.83
Zn3 0.5000 0.0000 0.5000  8 Hf 2.83
Zn4 0.5000 0.5000 0.0000  8 Hf 2.83
Cl1 0.0000 0.0000 0.5000  8 Hf 2.83
Cl2 0.0000 0.5000 0.0000  8 Hf 2.83
Cl3 0.5000 0.0000 0.0000  8 Hf 2.83
Cl4 0.5000 0.5000 0.5000  8 Hf 2.83

Calculated values
The calculation puts the uncorrected formation energy at -111 meV/atom.

=====

2.
A plane-wave DFT calculation with GGA-PBEsol was carried out for crystalline Sn2SO5 at its relaxed geometry.

a b c (Å): 10.9173 10.9173 8.9424
angles (deg): 90.00 90.00 90.00
With the nearest neighbours (Å) after each atom.
Fractional coordinates of all 64 atoms:
Sn1 0.0110 0.1617 0.3637  3 O 2.18-2.33
Sn2 0.0206 0.2913 0.7407  3 O 2.14-2.35
Sn3 0.1617 0.9890 0.6363  3 O 2.18-2.33
Sn4 0.2087 0.4794 0.2407  3 O 2.14-2.35
Sn5 0.2913 0.9794 0.2593  3 O 2.14-2.35
Sn6 0.3383 0.4890 0.8637  3 O 2.18-2.33
Sn7 0.4794 0.7913 0.7593  3 O 2.14-2.35
Sn8 0.4890 0.6617 0.1363  3 O 2.18-2.33
Sn9 0.5110 0.3383 0.1363  3 O 2.18-2.33
Sn10 0.5206 0.2087 0.7593  3 O 2.14-2.35
Sn11 0.6617 0.5110 0.8637  3 O 2.18-2.33
Sn12 0.7087 0.0206 0.2593  3 O 2.14-2.35
Sn13 0.7913 0.5206 0.2407  3 O 2.14-2.35
Sn14 0.8383 0.0110 0.6363  3 O 2.18-2.33
Sn15 0.9794 0.7087 0.7407  3 O 2.14-2.35
Sn16 0.9890 0.8383 0.3637  3 O 2.18-2.33
S1 0.2037 0.7876 0.9942  4 O 1.48-1.51
S2 0.2124 0.2037 0.0058  4 O 1.48-1.51
S3 0.2876 0.7037 0.4942  4 O 1.48-1.51
S4 0.2963 0.2876 0.5058  4 O 1.48-1.51
S5 0.7037 0.7124 0.5058  4 O 1.48-1.51
S6 0.7124 0.2963 0.4942  4 O 1.48-1.51
S7 0.7876 0.7963 0.0058  4 O 1.48-1.51
S8 0.7963 0.2124 0.9942  4 O 1.48-1.51
O1 0.0176 0.1257 0.6127  4 Sn 2.14-2.33
O2 0.1016 0.8309 0.8980  1 S 1.49
O3 0.1257 0.9824 0.3873  4 Sn 2.14-2.33
O4 0.1521 0.7085 0.4956  1 S 1.48
O5 0.1578 0.3214 0.0555  1 S 1.48
O6 0.1691 0.1016 0.1020  1 S 1.49
O7 0.1696 0.1811 0.8477  1 S 1.51
O8 0.1786 0.3422 0.5555  1 S 1.48
O9 0.1811 0.8304 0.1523  1 S 1.51
O10 0.2085 0.6521 0.9956  1 S 1.48
O11 0.2915 0.1521 0.5044  1 S 1.48
O12 0.3189 0.3304 0.3477  1 S 1.51
O13 0.3214 0.8422 0.9445  1 S 1.48
O14 0.3304 0.6811 0.6523  1 S 1.51
O15 0.3309 0.6016 0.3980  1 S 1.49
O16 0.3422 0.8214 0.4445  1 S 1.48
O17 0.3479 0.2085 0.0044  1 S 1.48
O18 0.3743 0.4824 0.1127  4 Sn 2.14-2.33
O19 0.3984 0.3309 0.6020  1 S 1.49
O20 0.4824 0.6257 0.8873  4 Sn 2.14-2.33
O21 0.5176 0.3743 0.8873  4 Sn 2.14-2.33
O22 0.6016 0.6691 0.6020  1 S 1.49
O23 0.6257 0.5176 0.1127  4 Sn 2.14-2.33
O24 0.6521 0.7915 0.0044  1 S 1.48
O25 0.6578 0.1786 0.4445  1 S 1.48
O26 0.6691 0.3984 0.3980  1 S 1.49
O27 0.6696 0.3189 0.6523  1 S 1.51
O28 0.6786 0.1578 0.9445  1 S 1.48
O29 0.6811 0.6696 0.3477  1 S 1.51
O30 0.7085 0.8479 0.5044  1 S 1.48
O31 0.7915 0.3479 0.9956  1 S 1.48
O32 0.8189 0.1696 0.1523  1 S 1.51
O33 0.8214 0.6578 0.5555  1 S 1.48
O34 0.8304 0.8189 0.8477  1 S 1.51
O35 0.8309 0.8984 0.1020  1 S 1.49
O36 0.8422 0.6786 0.0555  1 S 1.48
O37 0.8479 0.2915 0.4956  1 S 1.48
O38 0.8743 0.0176 0.3873  4 Sn 2.14-2.33
O39 0.8984 0.1691 0.8980  1 S 1.49
O40 0.9824 0.8743 0.6127  4 Sn 2.14-2.33

Calculated values
The calculation puts the uncorrected formation energy at -1388 meV/atom.

=====

3.
A plane-wave DFT calculation with GGA-PBEsol was carried out for crystalline Pt2RhW at its relaxed geometry.

a b c (Å): 2.7323 3.8873 5.5111
angles (deg): 90.00 90.00 90.00
With the nearest neighbours (Å) after each atom.
Fractional coordinates of all 4 atoms:
Pt1 0.0000 0.0000 0.0000  2 Rh 2.68-2.83, 6 Pt 2.73-2.77, 4 W 2.75
Pt2 0.5000 0.5000 0.2600  2 W 2.69-2.82, 6 Pt 2.73-2.77, 4 Rh 2.76
Rh1 0.0000 0.0000 0.5143  6 Pt 2.68-2.83, 4 W 2.70, 2 Rh 2.73
W1 0.5000 0.5000 0.7477  6 Pt 2.69-2.82, 4 Rh 2.70, 2 W 2.73

Calculated values
Its formation energy is -0.25 eV/atom. Its distance to the lowest polymorph of the same formula is 0.14 eV/f.u.

=====

4.
A plane-wave DFT calculation with GGA-PBEsol was carried out for crystalline Zr2BrCl at its relaxed geometry.

a b c (Å): 3.2262 5.0453 4.9218
angles (deg): 90.00 99.75 90.00
With the nearest neighbours (Å) after each atom.
Fractional coordinates of all 4 atoms:
Zr1 0.0000 0.0000 0.0000  3 Br 2.73-2.80, 2 Cl 2.74
Zr2 0.4270 0.5000 0.3161  3 Cl 2.71-2.82, 2 Br 2.75
Br1 0.3991 0.0000 0.5372  5 Zr 2.73-2.80
Cl1 0.0333 0.5000 0.7850  5 Zr 2.71-2.82

Calculated values
The calculation puts the uncorrected formation energy at -640 meV/atom. Its distance to the lowest polymorph of the same formula is 2.13 eV/f.u.

=====

5.
A plane-wave DFT calculation with GGA-PBEsol was carried out for crystalline CaCo2Si2 at its relaxed geometry.

a b c (Å): 7.1020 7.1020 2.5729
angles (deg): 90.00 90.00 90.00
With the nearest neighbours (Å) after each atom.
Fractional coordinates of all 10 atoms:
Ca1 0.0000 0.0000 0.0000  2 Ca 2.57, 4 Si 2.76
Ca2 0.5000 0.5000 0.0000  2 Ca 2.57, 4 Si 2.76
Co1 0.1512 0.3488 0.5000  6 Si 2.41-2.51, 2 Co 2.57
Co2 0.3488 0.8488 0.5000  6 Si 2.41-2.51, 2 Co 2.57
Co3 0.6512 0.1512 0.5000  6 Si 2.41-2.51, 2 Co 2.57
Co4 0.8488 0.6512 0.5000  6 Si 2.41-2.51, 2 Co 2.57
Si1 0.1348 0.6348 0.0000  6 Co 2.41-2.51, 2 Si 2.57
Si2 0.3652 0.1348 0.0000  6 Co 2.41-2.51, 2 Si 2.57
Si3 0.6348 0.8652 0.0000  6 Co 2.41-2.51, 2 Si 2.57
Si4 0.8652 0.3652 0.0000  6 Co 2.41-2.51, 2 Si 2.57

Calculated values
The calculation puts the uncorrected formation energy at -356 meV/atom.

=====

6.
A plane-wave DFT calculation with GGA-PBEsol was carried out for crystalline KZnMo3 at its relaxed geometry.

a b c (Å): 4.7104 4.7104 4.7104
angles (deg): 90.00 90.00 90.00
With the nearest neighbours (Å) after each atom.
Fractional coordinates of all 5 atoms:
K1 0.0000 0.0000 0.0000  12 Mo 3.33
Zn1 0.5000 0.5000 0.5000  6 Mo 2.36
Mo1 0.0000 0.5000 0.5000  2 Zn 2.36
Mo2 0.5000 0.0000 0.5000  2 Zn 2.36
Mo3 0.5000 0.5000 0.0000  2 Zn 2.36

Calculated values
Its formation energy is 2.20 eV/atom.

=====

7.
A plane-wave DFT calculation with GGA-PBEsol was carried out for crystalline Sr2AlSi at its relaxed geometry.

a b c (Å): 4.2261 4.7133 11.8520
angles (deg): 90.00 90.00 90.00
With the nearest neighbours (Å) after each atom.
Fractional coordinates of all 8 atoms:
Sr1 0.0000 0.0000 0.0000  4 Si 3.29, 3 Al 3.32-3.58
Sr2 0.0000 0.5000 0.5000  4 Si 3.29, 3 Al 3.32-3.58
Sr3 0.5000 0.0000 0.2842  4 Al 3.33, 3 Si 3.42-3.45
Sr4 0.5000 0.5000 0.7842  4 Al 3.33, 3 Si 3.42-3.45
Al1 0.0000 0.0000 0.6978  2 Si 2.56
Al2 0.0000 0.5000 0.1978  2 Si 2.56
Si1 0.5000 0.0000 0.5752  2 Al 2.56
Si2 0.5000 0.5000 0.0752  2 Al 2.56

Calculated values
The calculation puts the uncorrected formation energy at -361 meV/atom.

=====

8.
A plane-wave DFT calculation with GGA-PBEsol was carried out for crystalline Li2SbAu2 at its relaxed geometry.

a b c (Å): 7.3986 7.3986 3.1262
angles (deg): 90.00 90.00 90.00
With the nearest neighbours (Å) after each atom.
Fractional coordinates of all 10 atoms:
Li1 0.1603 0.3397 0.0000  6 Au 2.65-2.69
Li2 0.3397 0.8397 0.0000  6 Au 2.65-2.69
Li3 0.6603 0.1603 0.0000  6 Au 2.65-2.69
Li4 0.8397 0.6603 0.0000  6 Au 2.65-2.69
Sb1 0.0000 0.0000 0.5000  4 Au 2.88, 2 Sb 3.13, 8 Li 3.19
Sb2 0.5000 0.5000 0.5000  4 Au 2.88, 2 Sb 3.13, 8 Li 3.19
Au1 0.1351 0.6351 0.5000  6 Li 2.65-2.69, 1 Au 2.83, 2 Sb 2.88
Au2 0.3649 0.1351 0.5000  6 Li 2.65-2.69, 1 Au 2.83, 2 Sb 2.88
Au3 0.6351 0.8649 0.5000  6 Li 2.65-2.69, 1 Au 2.83, 2 Sb 2.88
Au4 0.8649 0.3649 0.5000  6 Li 2.65-2.69, 1 Au 2.83, 2 Sb 2.88

Calculated values
The calculation puts the uncorrected formation energy at -432 meV/atom.

=====

9.
A plane-wave DFT calculation with GGA-PBEsol was carried out for crystalline Al3PdRh at its relaxed geometry.

a b c (Å): 4.5653 4.5653 4.5653
angles (deg): 90.00 90.00 90.00
With the nearest neighbours (Å) after each atom.
Fractional coordinates of all 5 atoms:
Al1 0.0000 0.0000 0.5000  2 Rh 2.28
Al2 0.0000 0.5000 0.0000  2 Rh 2.28
Al3 0.5000 0.0000 0.0000  2 Rh 2.28
Pd1 0.5000 0.5000 0.5000  12 Al 3.23
Rh1 0.0000 0.0000 0.0000  6 Al 2.28

Calculated values
Its formation energy is -0.04 eV/atom. Its distance to the lowest polymorph of the same formula is 0.00 eV/f.u.

=====

10.
A plane-wave DFT calculation with GGA-PBEsol was carried out for crystalline P2PbSe at its relaxed geometry.

a b c (Å): 3.4281 4.1385 5.9098
angles (deg): 90.00 90.00 90.00
With the nearest neighbours (Å) after each atom.
Fractional coordinates of all 4 atoms:
P1 0.0000 0.0000 0.1809  1 P 2.14
P2 0.0000 0.0000 0.8191  1 P 2.14
Pb1 0.5000 0.5000 0.5000  2 Se 2.95, 8 P 3.28
Se1 0.5000 0.5000 0.0000  8 P 2.89, 2 Pb 2.95

Calculated values
The calculation puts the uncorrected formation energy at 401 meV/atom. Its distance to the lowest polymorph of the same formula is 0.73 eV/f.u.

=====

11.
A plane-wave DFT calculation with GGA-PBEsol was carried out for crystalline TeAsSeN2 at its relaxed geometry.

a b c (Å): 3.8055 3.8055 6.5666
angles (deg): 90.00 90.00 90.00
With the nearest neighbours (Å) after each atom.
Fractional coordinates of all 5 atoms:
Te1 0.0000 0.0000 0.0000  4 As 2.69
As1 0.5000 0.5000 0.0000  4 Te 2.69
Se1 0.0000 0.0000 0.5000  4 N 1.90
N1 0.0000 0.5000 0.5000  2 Se 1.90
N2 0.5000 0.0000 0.5000  2 Se 1.90

Calculated values
The calculation puts the uncorrected formation energy at 1513 meV/atom. Its distance to the lowest polymorph of the same formula is 1.58 eV/f.u.

=====

12.
A plane-wave DFT calculation with GGA-PBEsol was carried out for crystalline LiGa3Ni at its relaxed geometry.

a b c (Å): 4.3116 4.3116 4.3116
angles (deg): 90.00 90.00 90.00
With the nearest neighbours (Å) after each atom.
Fractional coordinates of all 5 atoms:
Li1 0.0000 0.0000 0.0000  6 Ga 2.16
Ga1 0.0000 0.0000 0.5000  2 Li 2.16
Ga2 0.0000 0.5000 0.0000  2 Li 2.16
Ga3 0.5000 0.0000 0.0000  2 Li 2.16
Ni1 0.5000 0.5000 0.5000  12 Ga 3.05

Calculated values
Its formation energy is 0.61 eV/atom.

=====

no.,D(E_F) (states/eV per cell)
1,15.95
2,0.00
3,2.84
4,2.40
5,5.98
6,7.75
7,3.92
8,3.69
9,1.76
10,2.06
11,3.32
12,3.39